# VB2O5

An optimized crystal structure of VB2O5 (PBE+U, Alexandria).

Properties
For the energy, the calculation gives -7.82 eV/atom. For the density of states at the Fermi level, the calculation gives 0.0 states/eV/cell. The mass density is 2141 kg/m³.

a b c (Å): 4.2503 5.2218 5.9630
angles (deg): 113.73 92.44 100.17
With the nearest neighbours (Å) after each atom.
Space group P1 (No. 1)
Symmetry-distinct sites (fractional):
V: 0.0000 0.0000 0.0000 [1 per cell]  1 O 1.62
B: 0.4595 0.0868 0.7310 [1 per cell]  3 O 1.36-1.42
B: 0.9406 0.1329 0.5235 [1 per cell]  3 O 1.33-1.43
O: 0.0700 0.1953 0.3478 [1 per cell]  1 B 1.33
O: 0.1298 0.1043 0.7135 [1 per cell]  2 B 1.42-1.43
O: 0.5542 0.0689 0.9433 [1 per cell]  1 B 1.36
O: 0.6149 0.0760 0.5344 [1 per cell]  2 B 1.36-1.37
O: 0.9269 0.6552 0.9076 [1 per cell]  1 V 1.62